No. 1
Crystalline Tb2PuSc8 at its relaxed geometry, computed with GGA-PBE.

calculated formation energy	0.18	eV/atom
total magnetic moment	5.57	μB per formula unit
mass density	5.32	g/cm³
symmetry	C2/m

Unit cell a=8.577 b=8.577 c=5.364 alpha=104.01 beta=104.01 gamma=122.50
Fractional positions:
Tb 0.196 0.804 0.000
Tb 0.804 0.196 0.000
Pu 0.500 0.500 0.500
Sc 0.084 0.084 0.295
Sc 0.175 0.399 0.831
Sc 0.297 0.703 0.500
Sc 0.399 0.175 0.831
Sc 0.601 0.825 0.169
Sc 0.703 0.297 0.500
Sc 0.825 0.601 0.169
Sc 0.916 0.916 0.705

No. 2
Crystalline Tb2Pu3ScTe6 at its relaxed geometry, computed with GGA-PBE.

total magnetic moment	17.95	μB per formula unit
mass density	8.74	g/cm³
symmetry	C2/m
final energy	-7.64	eV per atom

Unit cell a=9.796 b=9.796 c=8.781 alpha=103.80 beta=103.80 gamma=25.62
Fractional positions:
Tb 0.166 0.166 0.333
Tb 0.834 0.834 0.667
Pu 0.170 0.170 0.836
Pu 0.500 0.500 0.500
Pu 0.830 0.830 0.164
Sc 0.500 0.500 0.000
Te 0.001 0.001 0.763
Te 0.332 0.332 0.418
Te 0.339 0.339 0.917
Te 0.661 0.661 0.083
Te 0.668 0.668 0.582
Te 0.999 0.999 0.237

No. 3
Crystalline Tb3Pu3ScTe8 at its relaxed geometry, computed with GGA-PBE.

total magnetic moment	17.77	μB per formula unit
mass density	7.94	g/cm³
symmetry	R-3m
final energy	-7.14	eV per atom

Unit cell a=8.781 b=8.781 c=8.781 alpha=59.71 beta=59.71 gamma=59.71
Fractional positions:
Tb 0.000 0.500 0.500
Tb 0.500 0.000 0.500
Tb 0.500 0.500 0.000
Pu 0.000 0.000 0.500
Pu 0.000 0.500 0.000
Pu 0.500 0.000 0.000
Sc 0.000 0.000 0.000
Te 0.245 0.245 0.752
Te 0.245 0.752 0.245
Te 0.248 0.755 0.755
Te 0.251 0.251 0.251
Te 0.749 0.749 0.749
Te 0.752 0.245 0.245
Te 0.755 0.248 0.755
Te 0.755 0.755 0.248

No. 4
Crystalline Tb2PuSc3Te6 at its relaxed geometry, computed with GGA-PBE.

total magnetic moment	6.11	μB per formula unit
mass density	7.32	g/cm³
symmetry	C2/m
final energy	-6.30	eV per atom

Unit cell a=9.577 b=9.577 c=8.595 alpha=103.31 beta=103.31 gamma=25.66
Fractional positions:
Tb 0.164 0.164 0.332
Tb 0.836 0.836 0.668
Pu 0.500 0.500 0.000
Sc 0.165 0.165 0.837
Sc 0.500 0.500 0.500
Sc 0.835 0.835 0.163
Te 0.004 0.004 0.739
Te 0.328 0.328 0.923
Te 0.336 0.336 0.406
Te 0.664 0.664 0.594
Te 0.672 0.672 0.077
Te 0.996 0.996 0.261

No. 5
Crystalline Tb3PuSc2Te6 at its relaxed geometry, computed with GGA-PBE.

total magnetic moment	6.29	μB per formula unit
mass density	7.69	g/cm³
symmetry	C2/m
final energy	-6.19	eV per atom

Unit cell a=9.662 b=9.662 c=8.666 alpha=103.26 beta=103.26 gamma=25.65
Fractional positions:
Tb 0.000 0.000 0.000
Tb 0.338 0.338 0.669
Tb 0.662 0.662 0.331
Pu 0.000 0.000 0.500
Sc 0.338 0.338 0.176
Sc 0.662 0.662 0.824
Te 0.170 0.170 0.593
Te 0.172 0.172 0.073
Te 0.496 0.496 0.246
Te 0.504 0.504 0.754
Te 0.828 0.828 0.927
Te 0.830 0.830 0.407

No. 6
Crystalline TbPuThSc at its relaxed geometry, computed with GGA-PBE.

calculated formation energy	0.18	eV/atom
total magnetic moment	7.44	μB per formula unit
mass density	9.85	g/cm³
symmetry	F-43m

Unit cell a=7.712 b=7.712 c=7.712 alpha=90.00 beta=90.00 gamma=90.00
Fractional positions:
Tb 0.000 0.000 0.000
Tb 0.000 0.500 0.500
Tb 0.500 0.000 0.500
Tb 0.500 0.500 0.000
Pu 0.250 0.250 0.750
Pu 0.250 0.750 0.250
Pu 0.750 0.250 0.250
Pu 0.750 0.750 0.750
Th 0.000 0.000 0.500
Th 0.000 0.500 0.000
Th 0.500 0.000 0.000
Th 0.500 0.500 0.500
Sc 0.250 0.250 0.250
Sc 0.250 0.750 0.750
Sc 0.750 0.250 0.750
Sc 0.750 0.750 0.250

No. 7
Crystalline TbTmPuSc at its relaxed geometry, computed with GGA-PBE.

calculated formation energy	0.17	eV/atom
total magnetic moment	5.99	μB per formula unit
mass density	9.01	g/cm³
symmetry	F-43m

Unit cell a=7.689 b=7.689 c=7.689 alpha=90.00 beta=90.00 gamma=90.00
Fractional positions:
Tb 0.000 0.000 0.000
Tb 0.000 0.500 0.500
Tb 0.500 0.000 0.500
Tb 0.500 0.500 0.000
Tm 0.250 0.250 0.250
Tm 0.250 0.750 0.750
Tm 0.750 0.250 0.750
Tm 0.750 0.750 0.250
Pu 0.000 0.000 0.500
Pu 0.000 0.500 0.000
Pu 0.500 0.000 0.000
Pu 0.500 0.500 0.500
Sc 0.250 0.250 0.750
Sc 0.250 0.750 0.250
Sc 0.750 0.250 0.250
Sc 0.750 0.750 0.750

No. 8
Crystalline TbYPuSc at its relaxed geometry, computed with GGA-PBE.

calculated formation energy	0.19	eV/atom
total magnetic moment	6.14	μB per formula unit
mass density	7.67	g/cm³
symmetry	F-43m

Unit cell a=7.748 b=7.748 c=7.748 alpha=90.00 beta=90.00 gamma=90.00
Fractional positions:
Tb 0.000 0.000 0.000
Tb 0.000 0.500 0.500
Tb 0.500 0.000 0.500
Tb 0.500 0.500 0.000
Y 0.250 0.250 0.750
Y 0.250 0.750 0.250
Y 0.750 0.250 0.250
Y 0.750 0.750 0.750
Pu 0.000 0.000 0.500
Pu 0.000 0.500 0.000
Pu 0.500 0.000 0.000
Pu 0.500 0.500 0.500
Sc 0.250 0.250 0.250
Sc 0.250 0.750 0.750
Sc 0.750 0.250 0.750
Sc 0.750 0.750 0.250

No. 9
Crystalline TbPuZrSc at its relaxed geometry, computed with GGA-PBE.

calculated formation energy	0.21	eV/atom
total magnetic moment	6.42	μB per formula unit
mass density	8.61	g/cm³
symmetry	F-43m

Unit cell a=7.465 b=7.465 c=7.465 alpha=90.00 beta=90.00 gamma=90.00
Fractional positions:
Tb 0.000 0.000 0.000
Tb 0.000 0.500 0.500
Tb 0.500 0.000 0.500
Tb 0.500 0.500 0.000
Pu 0.000 0.000 0.500
Pu 0.000 0.500 0.000
Pu 0.500 0.000 0.000
Pu 0.500 0.500 0.500
Zr 0.250 0.250 0.750
Zr 0.250 0.750 0.250
Zr 0.750 0.250 0.250
Zr 0.750 0.750 0.750
Sc 0.250 0.250 0.250
Sc 0.250 0.750 0.750
Sc 0.750 0.250 0.750
Sc 0.750 0.750 0.250

No. 10
Crystalline PuScTc at its relaxed geometry, computed with GGA-PBE.

calculated formation energy	0.18	eV/atom
relative energy among the computed polymorphs	0.2283	eV per atom
total magnetic moment	4.82	μB per formula unit
mass density	9.43	g/cm³
symmetry	C2/m

Unit cell a=6.556 b=6.559 c=7.133 alpha=90.00 beta=117.25 gamma=90.00
Fractional positions:
Pu 0.000 0.250 0.000
Pu 0.000 0.750 0.000
Pu 0.500 0.250 0.000
Pu 0.500 0.750 0.000
Sc 0.250 0.250 0.500
Sc 0.250 0.750 0.500
Sc 0.750 0.250 0.500
Sc 0.750 0.750 0.500
Tc 0.130 0.000 0.759
Tc 0.370 0.500 0.241
Tc 0.630 0.500 0.759
Tc 0.870 0.000 0.241

No. 11
Crystalline PuSc4Tc at its relaxed geometry, computed with GGA-PBE.

calculated formation energy	-0.01	eV/atom
total magnetic moment	6.46	μB per formula unit
mass density	6.50	g/cm³
symmetry	Pnma

Unit cell a=8.104 b=3.415 c=19.266 alpha=90.00 beta=90.00 gamma=90.00
Fractional positions:
Pu 0.223 0.250 0.186
Pu 0.277 0.750 0.686
Pu 0.723 0.250 0.314
Pu 0.777 0.750 0.814
Sc 0.018 0.750 0.567
Sc 0.035 0.750 0.292
Sc 0.120 0.750 0.047
Sc 0.155 0.750 0.853
Sc 0.345 0.250 0.353
Sc 0.380 0.250 0.547
Sc 0.465 0.250 0.792
Sc 0.482 0.250 0.067
Sc 0.518 0.750 0.933
Sc 0.535 0.750 0.208
Sc 0.620 0.750 0.453
Sc 0.655 0.750 0.647
Sc 0.845 0.250 0.147
Sc 0.880 0.250 0.953
Sc 0.965 0.250 0.708
Sc 0.982 0.250 0.433
Tc 0.244 0.750 0.454
Tc 0.256 0.250 0.954
Tc 0.744 0.750 0.046
Tc 0.756 0.250 0.546

No. 12
Crystalline PuSc3Tc at its relaxed geometry, computed with GGA-PBE.

calculated formation energy	0.04	eV/atom
total magnetic moment	5.70	μB per formula unit
mass density	6.59	g/cm³
symmetry	C2/m

Unit cell a=6.768 b=6.768 c=7.115 alpha=120.79 beta=120.79 gamma=75.66
Fractional positions:
Pu 0.060 0.060 0.337
Pu 0.940 0.940 0.663
Sc 0.054 0.445 0.213
Sc 0.445 0.054 0.213
Sc 0.450 0.450 0.738
Sc 0.550 0.550 0.262
Sc 0.555 0.946 0.787
Sc 0.946 0.555 0.787
Tc 0.235 0.235 0.864
Tc 0.765 0.765 0.136